# 1
## TmZrMo (PBE)

Data for a geometry-optimized TmZrMo structure.

abc: 3.2171 3.2171 13.6975
angles: 96.74 96.74 90.00
Element x y z (fractional)
Mo 0.2765 0.2765 0.5529
Mo 0.7235 0.7235 0.4471
Zr 0.1537 0.1537 0.3074
Zr 0.8463 0.8463 0.6926
Tm 0.5631 0.5631 0.1263
Tm 0.4369 0.4369 0.8737

Properties
Energy above the most stable polymorph in this dataset in meV per atom: 19.7
Symmetry: I4/mmm
Formation energy from the elements in meV per atom: 123.0

# 2
## NaZnHg2Bi (PBE)

Data for a geometry-optimized NaZnHg2Bi structure.

abc: 5.2504 5.2504 5.5687
angles: 90.00 90.00 90.00
Element x y z (fractional)
Na 0.5000 0.5000 0.5000
Zn 0.0000 0.0000 0.0000
Bi 0.0000 0.0000 0.5000
Hg 0.0000 0.5000 0.0000
Hg 0.5000 0.0000 0.0000

Properties
Symmetry: P4/mmm
Formation energy from the elements in meV per atom: 42.3

# 3
## Cd2NiSnHg (PBE)

Data for a geometry-optimized Cd2NiSnHg structure.

abc: 5.1209 5.1209 4.7912
angles: 90.00 90.00 90.00
Element x y z (fractional)
Ni 0.0000 0.0000 0.0000
Cd 0.0000 0.5000 0.0000
Cd 0.5000 0.0000 0.0000
Hg 0.5000 0.5000 0.5000
Sn 0.0000 0.0000 0.5000

Properties
Symmetry: P4/mmm
Formation energy from the elements in meV per atom: 30.2

# 4
## RbGeSe3 (PBE)

Data for a geometry-optimized RbGeSe3 structure.

abc: 5.2025 5.2025 5.2025
angles: 90.00 90.00 90.00
Element x y z (fractional)
Ge 0.0000 0.0000 0.0000
Se 0.0000 0.5000 0.0000
Se 0.0000 0.0000 0.5000
Se 0.5000 0.0000 0.0000
Rb 0.5000 0.5000 0.5000

Properties
E_form (uncorrected) in eV per atom: -0.236
Symmetry: Pm-3m

# 5
## BaYRu2 (PBE)

Data for a geometry-optimized BaYRu2 structure.

abc: 5.0613 5.0613 10.0433
angles: 75.41 75.41 90.00
Element x y z (fractional)
Y 0.5000 0.5000 0.0000
Y 0.2500 0.7500 0.5000
Ru 0.3742 0.1250 0.2500
Ru 0.3758 0.6250 0.2500
Ru 0.3750 0.6258 0.7500
Ru 0.8750 0.6242 0.7500
Ba 0.0000 0.0000 0.0000
Ba 0.7500 0.2500 0.5000

Properties
Symmetry: I4_1/amd
Formation energy from the elements in meV per atom: 627.8

# 6
## BaBSbI2 (PBE)

Data for a geometry-optimized BaBSbI2 structure.

abc: 5.7679 5.7679 4.7535
angles: 90.00 90.00 90.00
Element x y z (fractional)
I 0.0000 0.5000 0.0000
I 0.5000 0.0000 0.0000
Sb 0.0000 0.0000 0.5000
B 0.0000 0.0000 0.0000
Ba 0.5000 0.5000 0.5000

Properties
Energy above the most stable polymorph in this dataset in meV per atom: 0.0
E_form (uncorrected) in eV per atom: -0.031
Symmetry: P4/mmm

# 7
## Sm4Sb8Rh3 (PBE)

Data for a geometry-optimized Sm4Sb8Rh3 structure.

abc: 4.4307 4.4307 19.3780
angles: 90.00 90.00 90.00
Element x y z (fractional)
Sm 0.5000 0.0000 0.3752
Sm 0.5000 0.0000 0.8815
Sm 0.0000 0.5000 0.1185
Sm 0.0000 0.5000 0.6248
Sb 0.5000 0.0000 0.0679
Sb 0.5000 0.0000 0.5769
Sb 0.0000 0.5000 0.4231
Sb 0.0000 0.5000 0.9321
Sb 0.5000 0.5000 0.2477
Sb 0.5000 0.5000 0.7523
Sb 0.0000 0.0000 0.2472
Sb 0.0000 0.0000 0.7528
Rh 0.5000 0.5000 0.5000
Rh 0.0000 0.0000 0.0000
Rh 0.0000 0.0000 0.5000

Properties
E_form (uncorrected) in eV per atom: -0.795
Symmetry: P-4m2

# 8
## Gd2HoZr (PBE)

Data for a geometry-optimized Gd2HoZr structure.

abc: 3.3650 3.3650 12.1501
angles: 82.04 82.04 60.00
Site moments in Bohr magnetons follow the coordinates.
Element x y z (fractional)
Gd 0.0862 0.0862 0.7413  7.23
Gd 0.9138 0.9138 0.2587  7.23
Ho 0.5000 0.5000 0.5000  -0.15
Zr 0.0000 0.0000 0.0000  0.04

Properties
Energy above the most stable polymorph in this dataset in meV per atom: 210.9
Symmetry: R-3m
Formation energy from the elements in meV per atom: 294.7

# 9
## Mn6GaH3 (PBE)

Data for a geometry-optimized Mn6GaH3 structure.

abc: 4.9603 4.8757 6.7472
angles: 103.31 118.14 121.42
Site moments in Bohr magnetons follow the coordinates.
Element x y z (fractional)
Mn 0.5226 0.5993 0.8652  -2.22
Mn 0.1269 0.7121 0.2226  -2.18
Mn 0.9005 0.1516 0.3507  2.39
Mn 0.3124 0.9618 0.6861  2.06
Mn 0.8813 0.4907 0.7252  2.33
Mn 0.4496 0.3415 0.1780  2.51
Ga 0.7405 0.8819 0.6321  -0.08
H 0.6439 0.1886 0.0636  -0.01
H 0.3360 0.6238 0.0701  -0.01
H 0.0863 0.0487 0.2065  0.00

Properties
Electronic total energy in eV for the cell shown: -67.38
Symmetry: P1

# 10
## PaZn2Pd3 (PBE)

Data for a geometry-optimized PaZn2Pd3 structure.

abc: 4.4538 4.4538 12.1665
angles: 90.00 90.00 120.00
Element x y z (fractional)
Pa 0.0000 0.0000 0.2500
Pa 0.0000 0.0000 0.7500
Zn 0.6667 0.3333 0.4167
Zn 0.3333 0.6667 0.5833
Zn 0.3333 0.6667 0.9167
Zn 0.6667 0.3333 0.0833
Pd 0.0000 0.0000 0.5000
Pd 0.0000 0.0000 0.0000
Pd 0.6667 0.3333 0.6302
Pd 0.3333 0.6667 0.1302
Pd 0.6667 0.3333 0.8698
Pd 0.3333 0.6667 0.3698

Properties
Symmetry: P6_3/mmc
Formation energy from the elements in meV per atom: -510.6

# 11
## HfMgP2S (PBE)

Data for a geometry-optimized HfMgP2S structure.

abc: 5.0036 5.0036 4.8663
angles: 90.00 90.00 90.00
Element x y z (fractional)
P 0.0000 0.5000 0.0000
P 0.5000 0.0000 0.0000
S 0.0000 0.0000 0.5000
Hf 0.0000 0.0000 0.0000
Mg 0.5000 0.5000 0.5000

Properties
Energy above the most stable polymorph in this dataset in meV per atom: 0.0
E_form (uncorrected) in eV per atom: -0.097
Symmetry: P4/mmm

# 12
## NaTc2Mo2 (PBE)

Data for a geometry-optimized NaTc2Mo2 structure.

abc: 7.7860 7.7860 2.8254
angles: 90.00 90.00 90.00
Element x y z (fractional)
Na 0.0000 0.0000 0.0000
Na 0.5000 0.5000 0.0000
Mo 0.3566 0.8566 0.0000
Mo 0.8566 0.6434 0.0000
Mo 0.6434 0.1434 0.0000
Mo 0.1434 0.3566 0.0000
Tc 0.1492 0.6492 0.5000
Tc 0.6492 0.8508 0.5000
Tc 0.8508 0.3508 0.5000
Tc 0.3508 0.1492 0.5000

Properties
Symmetry: P4/mbm
Formation energy from the elements in meV per atom: 438.2

# 13
## CeEr2Sc (PBE)

Data for a geometry-optimized CeEr2Sc structure.

abc: 5.5040 5.5040 5.5040
angles: 60.00 60.00 60.00
Site moments in Bohr magnetons follow the coordinates.
Element x y z (fractional)
Sc 0.5000 0.5000 0.5000  0.24
Ce 0.0000 0.0000 0.0000  0.88
Er 0.2500 0.2500 0.2500  0.27
Er 0.7500 0.7500 0.7500  0.27

Properties
Energy above the most stable polymorph in this dataset in meV per atom: 103.7
Symmetry: Fm-3m
Formation energy from the elements in meV per atom: 173.4

# 14
## ReTc2Ir (PBE)

Data for a geometry-optimized ReTc2Ir structure.

abc: 4.3770 4.7989 11.1004
angles: 90.00 90.00 90.00
Element x y z (fractional)
Re 0.2500 0.5809 0.9359
Re 0.7500 0.4191 0.0641
Re 0.2500 0.0809 0.5641
Re 0.7500 0.9191 0.4359
Tc 0.2500 0.5864 0.1883
Tc 0.7500 0.4136 0.8117
Tc 0.2500 0.0864 0.3117
Tc 0.7500 0.9136 0.6883
Tc 0.2500 0.5806 0.4383
Tc 0.7500 0.4194 0.5617
Tc 0.2500 0.0806 0.0617
Tc 0.7500 0.9194 0.9383
Ir 0.2500 0.5837 0.6870
Ir 0.7500 0.4163 0.3130
Ir 0.2500 0.0837 0.8130
Ir 0.7500 0.9163 0.1870

Properties
Energy above the most stable polymorph in this dataset in meV per atom: 12.2
Symmetry: Pnma
Formation energy from the elements in meV per atom: -166.8

# 15
## HfAlAg2 (PBE)

Data for a geometry-optimized HfAlAg2 structure.

abc: 4.0409 4.0409 10.1386
angles: 78.50 78.50 90.00
Element x y z (fractional)
Hf 0.0000 0.0000 0.0000
Hf 0.7500 0.2500 0.5000
Al 0.5000 0.5000 0.0000
Al 0.2500 0.7500 0.5000
Ag 0.6123 0.1250 0.2500
Ag 0.1377 0.6250 0.2500
Ag 0.3750 0.3877 0.7500
Ag 0.8750 0.8623 0.7500

Properties
Symmetry: I-42d
Formation energy from the elements in meV per atom: 205.8

# 16
## La9B3C6Br5 (PBE)

Data for a geometry-optimized La9B3C6Br5 structure.

abc: 3.8844 7.9854 33.3182
angles: 90.00 90.00 90.00
Element x y z (fractional)
La 0.0000 0.8054 0.7407
La 0.0000 0.6552 0.6160
La 0.0000 0.0871 0.6547
La 0.5000 0.9558 0.4448
La 0.0000 0.4424 0.0000
La 0.5000 0.3448 0.8840
La 0.5000 0.1946 0.7593
La 0.5000 0.9129 0.8453
La 0.5000 0.3448 0.1160
La 0.5000 0.9129 0.1547
La 0.0000 0.0442 0.9448
La 0.0000 0.0442 0.0552
La 0.5000 0.1946 0.2407
La 0.5000 0.9558 0.5552
La 0.0000 0.0871 0.3453
La 0.0000 0.6552 0.3840
La 0.0000 0.8054 0.2593
La 0.5000 0.5576 0.5000
B 0.5000 0.8668 0.6699
B 0.0000 0.1332 0.1699
B 0.5000 0.2180 0.0000
B 0.0000 0.1332 0.8301
B 0.5000 0.8668 0.3301
B 0.0000 0.7820 0.5000
C 0.0000 0.7352 0.5433
C 0.0000 0.0271 0.7933
C 0.5000 0.8688 0.6253
C 0.5000 0.9729 0.2933
C 0.0000 0.1312 0.1253
C 0.5000 0.2648 0.0433
C 0.0000 0.1312 0.8747
C 0.5000 0.9729 0.7067
C 0.5000 0.2648 0.9567
C 0.0000 0.0271 0.2067
C 0.0000 0.7352 0.4567
C 0.5000 0.8688 0.3747
Br 0.5000 0.5746 0.2021
Br 0.5000 0.3281 0.5989
Br 0.0000 0.2224 0.5000
Br 0.0000 0.4254 0.2979
Br 0.0000 0.4254 0.7021
Br 0.0000 0.6719 0.0989
Br 0.5000 0.7776 0.0000
Br 0.0000 0.6719 0.9011
Br 0.5000 0.5746 0.7979
Br 0.5000 0.3281 0.4011

Properties
E_form (uncorrected) in eV per atom: -0.933
Symmetry: Pmmn

# 17
## Rb3BiB (PBE)

Data for a geometry-optimized Rb3BiB structure.

abc: 6.1884 6.1884 6.1884
angles: 90.00 90.00 90.00
Site moments in Bohr magnetons follow the coordinates.
Element x y z (fractional)
B 0.0000 0.0000 0.0000  0.60
Bi 0.5000 0.5000 0.5000  0.63
Rb 0.0000 0.5000 0.0000  0.04
Rb 0.0000 0.0000 0.5000  0.02
Rb 0.5000 0.0000 0.0000  0.05

Properties
Symmetry: Pm-3m
Formation energy from the elements in meV per atom: 774.3

# 18
## CrAuCl2 (PBE)

Data for a geometry-optimized CrAuCl2 structure.

abc: 3.1723 3.2422 10.1897
angles: 83.25 90.00 90.00
Site moments in Bohr magnetons follow the coordinates.
Element x y z (fractional)
Cr 0.5000 0.2500 0.2500  3.53
Au 0.5000 0.7500 0.7500  0.00
Cl 0.0000 0.0939 0.0962  0.00
Cl 0.0000 0.4061 0.4038  0.00

Properties
Energy above the most stable polymorph in this dataset in meV per atom: 169.4
E_form (uncorrected) in eV per atom: -0.239
Symmetry: P2/m

# 19
## LaMnV2 (PBE)

Data for a geometry-optimized LaMnV2 structure.

abc: 4.5624 4.5624 4.5624
angles: 60.00 60.00 60.00
Site moments in Bohr magnetons follow the coordinates.
Element x y z (fractional)
Mn 0.0000 0.0000 0.0000  2.68
La 0.5000 0.5000 0.5000  -0.20
V 0.2500 0.2500 0.2500  -1.09
V 0.7500 0.7500 0.7500  -1.09

Properties
Energy above the most stable polymorph in this dataset in meV per atom: 0.0
Symmetry: Fm-3m
Formation energy from the elements in meV per atom: 516.7

# 20
## SrCa2W (PBE)

Data for a geometry-optimized SrCa2W structure.

abc: 3.6907 3.6905 10.5764
angles: 69.63 90.00 90.00
Site moments in Bohr magnetons follow the coordinates.
Element x y z (fractional)
Sr 0.5000 0.2500 0.2500  0.00
Ca 0.0000 0.0708 0.9297  0.05
Ca 0.0000 0.4292 0.5703  0.05
W 0.5000 0.7500 0.7500  1.71

Properties
Energy above the most stable polymorph in this dataset in meV per atom: 9.8
Symmetry: P2/m
Formation energy from the elements in meV per atom: 850.7